No. 1
Entry from Alexandria via LeMat-Bulk: an optimized crystal structure of Li2In2Pb (PBEsol).

Values from the calculation:
Total energy in eV/atom: -2.9781
Formation energy in eV/atom: -0.20

abc: 3.252 8.223 8.223
angles: 90.00 90.00 90.00
Sites, in units of the cell vectors:
1 Li 0.500 0.174 0.674
2 In 0.000 0.374 0.874
3 Li 0.500 0.326 0.174
4 Pb 0.000 0.000 0.000
5 In 0.000 0.874 0.626
6 In 0.000 0.126 0.374
7 Li 0.500 0.826 0.326
8 In 0.000 0.626 0.126
9 Pb 0.000 0.500 0.500
10 Li 0.500 0.674 0.826

***

No. 2
Entry from Alexandria via LeMat-Bulk: an optimized crystal structure of TcPOs2 (PBEsol).

Values from the calculation:
Total energy in eV/atom: -10.0790
Formation energy in eV/atom: 0.29

abc: 3.754 3.754 4.633
angles: 113.90 113.90 90.00
Sites, in units of the cell vectors:
1 P 0.500 0.500 0.000
2 Os 0.750 0.250 0.500
3 Os 0.000 0.000 0.000
4 Tc 0.250 0.750 0.500

***

No. 3
Entry from Alexandria via LeMat-Bulk: an optimized crystal structure of CaHgPb2 (PBEsol).

Values from the calculation:
Total energy in eV/atom: -2.9812
Formation energy in eV/atom: -0.31

abc: 3.752 5.348 6.334
angles: 114.97 107.23 90.00
Sites, in units of the cell vectors:
1 Ca 0.516 0.516 0.031
2 Pb 0.751 0.251 0.501
3 Hg 0.249 0.749 0.497
4 Pb 0.985 0.985 0.970

***

No. 4
Entry from Alexandria via LeMat-Bulk: an optimized crystal structure of CaFe2Rh (PBEsol).

Values from the calculation:
Total energy in eV/atom: -6.6409
Formation energy in eV/atom: 0.41

abc: 4.381 4.381 4.381
angles: 60.00 60.00 60.00
Last column: magnetic moment on the atom in μB.
Sites, in units of the cell vectors:
1 Ca 0.000 0.000 0.000  -0.07
2 Rh 0.500 0.500 0.500  0.68
3 Fe 0.750 0.750 0.750  2.69
4 Fe 0.250 0.250 0.250  2.69

***

No. 5
Entry from Alexandria via LeMat-Bulk: an optimized crystal structure of AgPb3 (PBEsol).

Values from the calculation:
Total energy in eV/atom: -3.7294
Formation energy in eV/atom: 0.10

abc: 3.371 5.616 6.437
angles: 115.86 105.18 90.00
Sites, in units of the cell vectors:
1 Ag 0.000 0.500 0.000
2 Pb 0.500 0.000 0.000
3 Pb 0.278 0.278 0.556
4 Pb 0.722 0.722 0.444

***

No. 6
Entry from Alexandria via LeMat-Bulk: an optimized crystal structure of BeCr2Os (PBEsol).

Values from the calculation:
Total energy in eV/atom: -9.1493
Formation energy in eV/atom: 0.03

abc: 2.875 4.059 4.611
angles: 116.11 108.16 90.00
Sites, in units of the cell vectors:
1 Os 0.497 0.997 0.995
2 Be 0.254 0.254 0.507
3 Cr 0.740 0.740 0.480
4 Cr 0.009 0.509 0.018